Entry 1:
Material: HfReTe
Method: DFT, PBE
State: relaxed

a b c (Å): 4.0892 4.0892 11.1935
angles (deg): 79.48 79.48 60.00
Positions (direct):
Hf 0.5610 0.5610 0.3171
Hf 0.4390 0.4390 0.6829
Te 0.2803 0.2803 0.1592
Te 0.7197 0.7197 0.8408
Re 0.8397 0.8397 0.4810
Re 0.1603 0.1603 0.5190

Computed properties:
Space group ... R-3m (166)
D(E_F) ... 0.50 states/eV/f.u.
ΔE_f (raw) ... -0.23 eV/atom
Total magnetic moment ... 0.000 μB per atom
Final energy ... -8.739 eV per atom
Density ... 10.3 g/cm3

Entry 2:
Material: Ce2Dy2Er5
Method: DFT, PBE
State: relaxed

a b c (Å): 5.5816 8.6612 8.9003
angles (deg): 43.54 71.73 71.20
Positions (direct):
Ce 0.0783 0.3331 0.5103
Ce 0.9217 0.6669 0.4897
Dy 0.4373 0.3454 0.7800
Dy 0.5627 0.6546 0.2200
Er 0.3200 0.0059 0.3541
Er 0.6800 0.9941 0.6459
Er 0.2075 0.6449 0.9402
Er 0.7925 0.3551 0.0598
Er 0.0000 0.0000 0.0000

Computed properties:
Space group ... C2/m (12)
D(E_F) ... 18.92 states/eV/f.u.
Total magnetic moment ... 0.000 μB per atom
Final energy ... -4.756 eV per atom
Density ... 8.6 g/cm3

Entry 3:
Material: PuZrZn4
Method: DFT, PBE
State: relaxed

a b c (Å): 3.0244 4.5460 7.9458
angles (deg): 90.00 90.00 90.00
Positions (direct):
Pu 0.5000 0.0000 0.0000
Zr 0.5000 0.5000 0.5000
Zn 0.9995 0.0000 0.6577
Zn 0.0001 0.5000 0.8217
Zn 0.0005 0.0000 0.3423
Zn 0.9999 0.5000 0.1783

Computed properties:
Space group ... Pmmm (47)
D(E_F) ... 9.31 states/eV/f.u.
Total magnetic moment ... 0.919 μB per atom
Final energy ... -4.875 eV per atom
Density ... 9.1 g/cm3
ΔE to the lowest computed polymorph ... 0.000 eV/atom

Entry 4:
Material: Cs3CaSm2Se6
Method: DFT, PBE
State: relaxed

a b c (Å): 7.5669 7.5669 8.7600
angles (deg): 98.27 98.27 120.00
Positions (direct):
Cs 0.1645 0.8355 0.5000
Cs 0.8355 0.1645 0.5000
Cs 0.5000 0.5000 0.5000
Ca 0.0000 0.0000 0.0000
Sm 0.3332 0.6668 0.0000
Sm 0.6668 0.3332 0.0000
Se 0.9370 0.5970 0.8108
Se 0.7230 0.7230 0.1882
Se 0.0630 0.4030 0.1892
Se 0.5970 0.9370 0.8108
Se 0.2770 0.2770 0.8118
Se 0.4030 0.0630 0.1892

Computed properties:
Space group ... C2/m (12)
D(E_F) ... 10.77 states/eV/f.u.
ΔE_f (raw) ... -1.58 eV/atom
Total magnetic moment ... 0.000 μB per atom
Final energy ... -4.488 eV per atom
Density ... 4.8 g/cm3